The following is a DFT calculation (PBE) of an optimized crystal structure of Mg2HgPbC.

Lattice parameters (Å, degrees): 5.723 5.723 4.448 90.00 90.00 90.00
Element x y z (fractional)
Mg: 0.000 0.500 0.000
Mg: 0.500 0.000 0.000
Hg: 0.000 0.000 0.500
Pb: 0.500 0.500 0.000
C: 0.500 0.500 0.500

Summary:
D(E_F) = 3.13 states/eV/cell
calculated density = 5.3 g cm⁻³
total energy = -0.149 Ry/atom
crystal system = tetragonal
total magnetic moment = 0.000 μB per atom